Ac2Cd6Sn | GGA-PBE | relaxed

Density of states at the Fermi level   4.56 states/eV per cell
Calculated formation energy   -0.303 eV/atom

Lattice parameters (Å, degrees): 6.631 6.631 6.461 90.00 90.00 120.00
Atoms (fractional coordinates):
Ac: 0.333 0.667 0.158
Ac: 0.667 0.333 0.842
Cd: 0.181 0.363 0.661
Cd: 0.181 0.819 0.661
Cd: 0.363 0.181 0.339
Cd: 0.637 0.819 0.661
Cd: 0.819 0.181 0.339
Cd: 0.819 0.637 0.339
Sn: 0.000 0.000 0.000

***

PmNdBr3 | GGA-PBE | relaxed

Polymorph energy (0 for the lowest one)   0 meV/atom
Uncorrected formation energy   -7.62 eV/f.u.

Lattice parameters (Å, degrees): 8.926 8.926 11.334 119.99 119.99 26.53
Atoms (fractional coordinates):
Pm: 0.081 0.081 0.454
Pm: 0.919 0.919 0.546
Nd: 0.361 0.361 0.211
Nd: 0.639 0.639 0.789
Br: 0.160 0.160 0.007
Br: 0.277 0.277 0.380
Br: 0.459 0.459 0.760
Br: 0.541 0.541 0.240
Br: 0.723 0.723 0.620
Br: 0.840 0.840 0.993

***

Na3Tl2Hg2 | GGA-PBE | relaxed

Polymorph energy (0 for the lowest one)   86 meV/atom
Density of states at the Fermi level   2.85 states/eV per cell
Calculated formation energy   -0.076 eV/atom

Lattice parameters (Å, degrees): 3.507 3.458 17.282 90.00 95.57 90.00
Atoms (fractional coordinates):
Na: 0.000 0.000 0.000
Na: 0.293 0.000 0.593
Na: 0.707 0.000 0.407
Tl: 0.418 0.000 0.838
Tl: 0.582 0.000 0.162
Hg: 0.151 0.500 0.292
Hg: 0.849 0.500 0.708

***

AgIr2W | GGA-PBE | relaxed

Polymorph energy (0 for the lowest one)   395 meV/atom
Density of states at the Fermi level   3.99 states/eV per cell
Calculated formation energy   0.397 eV/atom

Lattice parameters (Å, degrees): 2.732 2.732 9.657 90.00 90.00 117.80
Atoms (fractional coordinates):
Ag: 0.000 0.000 0.000
Ir: 0.000 0.000 0.501
Ir: 0.500 0.500 0.257
W: 0.500 0.500 0.736

***

Mg2PaVN4 | GGA-PBE | relaxed

Uncorrected formation energy   -7.35 eV/f.u.
Density of states at the Fermi level   7.53 states/eV per cell

Lattice parameters (Å, degrees): 5.831 5.831 10.637 90.00 90.00 147.56
Atoms (fractional coordinates):
Mg: 0.118 0.882 0.536
Mg: 0.118 0.882 0.964
Mg: 0.882 0.118 0.036
Mg: 0.882 0.118 0.464
Pa: 0.413 0.587 0.750
Pa: 0.587 0.413 0.250
V: 0.323 0.677 0.250
V: 0.677 0.323 0.750
N: 0.072 0.928 0.750
N: 0.217 0.783 0.126
N: 0.217 0.783 0.374
N: 0.500 0.500 0.000
N: 0.500 0.500 0.500
N: 0.783 0.217 0.626
N: 0.783 0.217 0.874
N: 0.928 0.072 0.250

***

SbF4 | GGA-PBE | relaxed

Uncorrected formation energy   -8.90 eV/f.u.
Density of states at the Fermi level   9.94 states/eV per cell

Lattice parameters (Å, degrees): 4.234 4.234 4.234 90.00 90.00 90.00
Atoms (fractional coordinates):
Sb: 0.000 0.000 0.000
F: 0.000 0.000 0.500
F: 0.000 0.500 0.000
F: 0.500 0.000 0.000
F: 0.500 0.500 0.500

***

SiH4S | GGA-PBE | relaxed

Polymorph energy (0 for the lowest one)   410 meV/atom
Density of states at the Fermi level   0.48 states/eV per cell

Lattice parameters (Å, degrees): 7.563 7.563 5.054 90.00 90.00 154.23
Atoms (fractional coordinates):
Si: 0.079 0.921 0.500
Si: 0.921 0.079 0.000
H: 0.000 0.000 0.274
H: 0.000 0.000 0.774
H: 0.163 0.837 0.024
H: 0.249 0.751 0.604
H: 0.442 0.558 0.040
H: 0.558 0.442 0.540
H: 0.751 0.249 0.104
H: 0.837 0.163 0.524
S: 0.341 0.659 0.557
S: 0.659 0.341 0.057

***

MgMnGaSiS | GGA-PBE | relaxed

Polymorph energy (0 for the lowest one)   59 meV/atom
Uncorrected formation energy   -1.31 eV/f.u.
Density of states at the Fermi level   1.77 states/eV per cell

Lattice parameters (Å, degrees): 4.035 4.035 6.699 107.60 107.60 60.07
Atoms (fractional coordinates):
Mg: 0.000 0.000 0.000
Mn: 0.496 0.496 0.494
Ga: 0.776 0.776 0.334
Si: 0.157 0.157 0.479
S: 0.621 0.621 0.863

***

Number 1: final energy -2.271 eV/atom, volume 246 Å³ per cell. Number 2: final energy -4.430 eV/atom, volume 346 Å³ per cell. Number 3: final energy -1.404 eV/atom, volume 209 Å³ per cell. Number 4: final energy -7.984 eV/atom, volume 64 Å³ per cell. Number 5: final energy -7.807 eV/atom, volume 194 Å³ per cell. Number 6: final energy -4.101 eV/atom, volume 76 Å³ per cell. Number 7: final energy -3.546 eV/atom, volume 126 Å³ per cell. Number 8: final energy -4.930 eV/atom, volume 89 Å³ per cell.